<one>
# Tb6MgRu2

A relaxed Tb6MgRu2 crystal (PBE, Alexandria via LeMat-Bulk).

Unit cell a=5.713 b=5.713 c=9.417 alpha=100.79 beta=100.79 gamma=52.37
Fractional coordinates of all 9 atoms:
Tb (0.036, 0.036, 0.345)
Tb (0.283, 0.283, 0.660)
Tb (0.339, 0.339, 0.121)
Tb (0.661, 0.661, 0.879)
Tb (0.717, 0.717, 0.340)
Tb (0.964, 0.964, 0.655)
Mg (0.000, 0.000, 0.000)
Ru (0.389, 0.389, 0.405)
Ru (0.611, 0.611, 0.595)

---

<two>
# Tb6MgRu2

A relaxed Tb6MgRu2 crystal (PBE, Alexandria via LeMat-Bulk).

Unit cell a=8.547 b=8.547 c=8.547 alpha=113.12 beta=111.33 gamma=104.09
Fractional coordinates of all 18 atoms:
Tb (0.035, 0.240, 0.795)
Tb (0.183, 0.285, 0.468)
Tb (0.183, 0.715, 0.898)
Tb (0.326, 0.012, 0.686)
Tb (0.326, 0.640, 0.314)
Tb (0.444, 0.240, 0.205)
Tb (0.556, 0.760, 0.795)
Tb (0.674, 0.360, 0.686)
Tb (0.674, 0.988, 0.314)
Tb (0.817, 0.285, 0.102)
Tb (0.817, 0.715, 0.532)
Tb (0.965, 0.760, 0.205)
Mg (0.000, 0.000, 0.000)
Mg (0.500, 0.500, 0.000)
Ru (0.126, 0.626, 0.500)
Ru (0.316, 0.000, 0.316)
Ru (0.684, 0.000, 0.684)
Ru (0.874, 0.374, 0.500)

---

Which one is most stable, and which one is least stable? <two> is the most stable of them, while <one> is the least stable.

---

<one>
# TbTmMgRu

A relaxed TbTmMgRu crystal (PBE, Alexandria via LeMat-Bulk).

Unit cell a=7.070 b=7.070 c=7.070 alpha=90.00 beta=90.00 gamma=90.00
Fractional coordinates of all 16 atoms:
Tb (0.000, 0.000, 0.000)
Tb (0.000, 0.500, 0.500)
Tb (0.500, 0.000, 0.500)
Tb (0.500, 0.500, 0.000)
Tm (0.000, 0.000, 0.500)
Tm (0.000, 0.500, 0.000)
Tm (0.500, 0.000, 0.000)
Tm (0.500, 0.500, 0.500)
Mg (0.250, 0.250, 0.250)
Mg (0.250, 0.750, 0.750)
Mg (0.750, 0.250, 0.750)
Mg (0.750, 0.750, 0.250)
Ru (0.250, 0.250, 0.750)
Ru (0.250, 0.750, 0.250)
Ru (0.750, 0.250, 0.250)
Ru (0.750, 0.750, 0.750)

---

<two>
# TbTmMgRu

A relaxed TbTmMgRu crystal (PBE, Alexandria via LeMat-Bulk).

Unit cell a=3.426 b=3.426 c=8.082 alpha=90.00 beta=90.00 gamma=90.00
Fractional coordinates of all 4 atoms:
Tb (0.000, 0.000, 0.000)
Tm (0.000, 0.000, 0.594)
Mg (0.500, 0.500, 0.302)
Ru (0.500, 0.500, 0.792)

---

Which one is most stable, and which one is least stable? <two> is the most stable of them, while <one> is the least stable.